VASP calculation (PBE) on KSb2Pt after structural relaxation.

Geometry as POSCAR:
```
KSb2Pt
1.0
-2.6433 -4.1005 -6.4551
2.2449 -1.6386 -7.5991
1.5962 0.6140 7.9085
Sb K Pt
2 1 1
Direct
0.9060 0.9060 0.0000
0.2484 0.7484 0.5000
0.5564 0.5564 0.0000
0.7892 0.2892 0.5000
```

Results
Its formation energy without anion corrections is -0.242 eV/atom. As for the density of states at the Fermi level: 1.656 states/eV/f.u. The space group is Imm2, No. 44.